(1)
ZnBi3N, relaxed, DFT PBE; size of the total moment = 0.0 μB per cell; ΔE to the lowest computed polymorph = 0.0 meV/atom; uncorrected formation energy = 600 meV/atom; D(E_F) = 2.6 states/eV per cell; mass density = 9616 kg/m³
1.0
4.9594 0.0000 0.0000
0.0000 4.9594 0.0000
0.0000 0.0000 4.9594
Zn Bi N
1 3 1
Direct
0.5000 0.5000 0.5000
0.0000 0.5000 0.0000
0.0000 0.0000 0.5000
0.5000 0.0000 0.0000
0.0000 0.0000 0.0000

(2)
ZnBiN, relaxed, DFT PBE; size of the total moment = 0.0 μB per cell; uncorrected formation energy = 342 meV/atom; D(E_F) = 0.9 states/eV per cell; mass density = 7991 kg/m³
1.0
-1.8238 1.8964 -2.1649
-2.2642 -2.5461 -0.3228
-4.4826 2.8512 8.9630
N Bi Zn
2 2 2
Direct
0.8944 0.7498 0.7939
0.1056 0.2502 0.2061
0.1761 0.7502 0.3485
0.8239 0.2498 0.6515
0.4488 0.7499 0.9026
0.5512 0.2501 0.0974

(3)
ZnBiN2, relaxed, DFT PBE; size of the total moment = 0.0 μB per cell; ΔE to the lowest computed polymorph = 539.4 meV/atom; uncorrected formation energy = 1094 meV/atom; D(E_F) = 3.1 states/eV per cell; mass density = 8299 kg/m³
1.0
1.9109 0.0000 6.3782
-0.9554 1.6549 6.3782
-0.9554 -1.6549 6.3782
Zn Bi N
1 1 2
Direct
0.5000 0.5000 0.5000
0.0000 0.0000 0.0000
0.8827 0.8827 0.8827
0.1173 0.1173 0.1173

Repeat the second record exactly.
ZnBiN, relaxed, DFT PBE; size of the total moment = 0.0 μB per cell; uncorrected formation energy = 342 meV/atom; D(E_F) = 0.9 states/eV per cell; mass density = 7991 kg/m³
1.0
-1.8238 1.8964 -2.1649
-2.2642 -2.5461 -0.3228
-4.4826 2.8512 8.9630
N Bi Zn
2 2 2
Direct
0.8944 0.7498 0.7939
0.1056 0.2502 0.2061
0.1761 0.7502 0.3485
0.8239 0.2498 0.6515
0.4488 0.7499 0.9026
0.5512 0.2501 0.0974